The following is a PBE-GGA calculation of an optimized crystal structure of NdYBC2, from OQMD.

Summary:
As for the symmetry: Cm.

abc: 3.728 3.728 6.090
angles: 107.23 107.23 89.99
Fractional positions:
B 0.003 0.003 0.004
C 0.138 0.138 0.273
C 0.865 0.865 0.735
Nd 0.647 0.647 0.288
Y 0.347 0.347 0.700

The following is a PBE-GGA calculation of an optimized crystal structure of Zn3PCl3, from OQMD.

Summary:
As for the symmetry: P-3m1.

abc: 7.227 7.227 6.702
angles: 90.00 90.00 120.00
Fractional positions:
Cl 0.341 0.170 0.192
Cl 0.830 0.171 0.192
Cl 0.829 0.659 0.192
Cl 0.171 0.341 0.808
Cl 0.170 0.829 0.808
Cl 0.659 0.830 0.808
P 0.333 0.667 0.355
P 0.667 0.333 0.645
Zn 0.000 0.000 0.000
Zn 0.333 0.667 0.009
Zn 0.500 0.000 0.500
Zn 0.000 0.500 0.500
Zn 0.500 0.500 0.500
Zn 0.667 0.333 0.991

The following is a PBE-GGA calculation of an optimized crystal structure of Si2AgSn, from OQMD.

Summary:
As for the symmetry: F-43m.

abc: 4.761 4.761 4.761
angles: 60.00 60.00 60.00
Fractional positions:
Ag 0.500 0.500 0.500
Si 0.000 0.000 0.000
Si 0.250 0.250 0.250
Sn 0.750 0.750 0.750

The following is a PBE-GGA calculation of an optimized crystal structure of GdHoOs, from OQMD.

Summary:
As for the symmetry: F-43m.

abc: 4.724 4.724 4.724
angles: 60.00 60.00 60.00
Fractional positions:
Gd 0.000 0.000 0.000
Ho 0.250 0.250 0.250
Os 0.750 0.750 0.750

The following is a PBE-GGA calculation of an optimized crystal structure of ErBiPO, from OQMD.

Summary:
As for the symmetry: P4/nmm. Its energy above the most stable polymorph in this dataset is 37 meV/atom.

abc: 4.210 4.210 9.540
angles: 90.00 90.00 90.00
Fractional positions:
Bi 0.750 0.250 0.500
Bi 0.250 0.750 0.500
Er 0.250 0.250 0.091
Er 0.750 0.750 0.909
O 0.750 0.250 0.000
O 0.250 0.750 0.000
P 0.750 0.750 0.262
P 0.250 0.250 0.738

The following is a PBE-GGA calculation of an optimized crystal structure of Tb2Cd, from OQMD.

Summary:
As for the symmetry: Fd-3m.

abc: 6.281 6.281 6.281
angles: 60.00 60.00 60.00
Fractional positions:
Cd 0.000 0.000 0.000
Cd 0.250 0.250 0.250
Tb 0.625 0.625 0.125
Tb 0.625 0.125 0.625
Tb 0.125 0.625 0.625
Tb 0.625 0.625 0.625

The following is a PBE-GGA calculation of an optimized crystal structure of K2CdSn, from OQMD.

Summary:
As for the symmetry: Ama2.

abc: 6.473 6.929 6.929
angles: 76.42 90.00 90.00
Fractional positions:
Cd 0.000 0.492 0.492
Cd 0.500 0.492 0.492
K 0.750 0.318 0.021
K 0.250 0.021 0.318
K 0.750 0.961 0.682
K 0.250 0.682 0.961
Sn 0.750 0.766 0.228
Sn 0.250 0.228 0.766

The following is a PBE-GGA calculation of an optimized crystal structure of TmGeBi, from OQMD.

Summary:
As for the symmetry: F-43m. Its energy above the most stable polymorph in this dataset is 0 meV/atom.

abc: 5.010 5.010 5.010
angles: 60.00 60.00 60.00
Fractional positions:
Bi 0.250 0.250 0.250
Ge 0.750 0.750 0.750
Tm 0.000 0.000 0.000

The following is a PBE-GGA calculation of an optimized crystal structure of YCdAgPd, from OQMD.

Summary:
As for the symmetry: F-43m. Its energy above the most stable polymorph in this dataset is 0 meV/atom.

abc: 4.878 4.878 4.878
angles: 60.00 60.00 60.00
Fractional positions:
Ag 0.500 0.500 0.500
Cd 0.250 0.250 0.250
Pd 0.000 0.000 0.000
Y 0.750 0.750 0.750

The following is a PBE-GGA calculation of an optimized crystal structure of TbLu2Cu4Si2Ge2, from OQMD.

Summary:
As for the symmetry: Immm. Its energy above the most stable polymorph in this dataset is 0 meV/atom.

abc: 7.858 7.858 7.858
angles: 149.89 130.27 59.24
Fractional positions:
Cu 0.634 0.325 0.308
Cu 0.983 0.675 0.308
Cu 0.017 0.325 0.692
Cu 0.366 0.675 0.692
Ge 0.691 0.500 0.191
Ge 0.309 0.500 0.809
Lu 0.629 0.129 0.500
Lu 0.371 0.871 0.500
Si 0.218 0.218 0.000
Si 0.782 0.782 0.000
Tb 0.000 0.000 0.000

The following is a PBE-GGA calculation of an optimized crystal structure of Er3Sb2Se, from OQMD.

Summary:
As for the symmetry: P-3m1.

abc: 4.256 4.256 10.365
angles: 90.00 90.00 120.00
Fractional positions:
Er 0.000 0.000 0.000
Er 0.667 0.333 0.344
Er 0.333 0.667 0.656
Sb 0.333 0.667 0.174
Sb 0.667 0.333 0.826
Se 0.000 0.000 0.500

The following is a PBE-GGA calculation of an optimized crystal structure of NaNbGeOs, from OQMD.

Summary:
As for the symmetry: F-43m. Its energy above the most stable polymorph in this dataset is 0 meV/atom.

abc: 4.471 4.471 4.471
angles: 60.00 60.00 60.00
Fractional positions:
Ge 0.000 0.000 0.000
Na 0.750 0.750 0.750
Nb 0.500 0.500 0.500
Os 0.250 0.250 0.250

The following is a PBE-GGA calculation of an optimized crystal structure of Pr3Cd2InAgIr2, from OQMD.

Summary:
As for the symmetry: Amm2.

abc: 4.036 7.793 7.793
angles: 120.06 90.00 90.00
Fractional positions:
Ag 0.500 0.002 0.002
Cd 0.000 0.742 0.001
Cd 0.000 0.001 0.742
In 0.000 0.260 0.260
Ir 0.000 0.660 0.332
Ir 0.000 0.332 0.660
Pr 0.500 0.418 0.001
Pr 0.500 0.001 0.418
Pr 0.500 0.585 0.585

The following is a PBE-GGA calculation of an optimized crystal structure of GdGeB, from OQMD.

Summary:
As for the symmetry: F-43m. Its energy above the most stable polymorph in this dataset is 0 meV/atom.

abc: 4.238 4.238 4.238
angles: 60.00 60.00 60.00
Fractional positions:
B 0.000 0.000 0.000
Gd 0.250 0.250 0.250
Ge 0.750 0.750 0.750

The following is a PBE-GGA calculation of an optimized crystal structure of DyErPO, from OQMD.

Summary:
As for the symmetry: P4/nmm. Its energy above the most stable polymorph in this dataset is 128 meV/atom.

abc: 4.290 4.290 8.464
angles: 90.00 90.00 90.00
Fractional positions:
Dy 0.000 0.000 0.500
Dy 0.500 0.500 0.500
Er 0.000 0.500 0.100
Er 0.500 0.000 0.900
O 0.000 0.000 0.000
O 0.500 0.500 0.000
P 0.500 0.000 0.300
P 0.000 0.500 0.700

The following is a PBE-GGA calculation of an optimized crystal structure of HoAlCu, from OQMD.

Summary:
As for the symmetry: P-62m.

abc: 8.114 8.114 3.062
angles: 90.00 90.00 120.00
Fractional positions:
Al 0.667 0.333 0.000
Al 0.333 0.667 0.000
Al 0.000 0.000 0.500
Cu 0.633 0.000 0.500
Cu 0.367 0.367 0.500
Cu 0.000 0.633 0.500
Ho 0.297 0.000 0.000
Ho 0.000 0.297 0.000
Ho 0.703 0.703 0.000

The following is a PBE-GGA calculation of an optimized crystal structure of Nb2BiAu, from OQMD.

Summary:
As for the symmetry: F-43m.

abc: 4.876 4.876 4.876
angles: 60.00 60.00 60.00
Fractional positions:
Au 0.250 0.250 0.250
Bi 0.500 0.500 0.500
Nb 0.000 0.000 0.000
Nb 0.750 0.750 0.750

The following is a PBE-GGA calculation of an optimized crystal structure of CuAg3, from OQMD.

Summary:
As for the symmetry: C2/m.

abc: 6.348 6.348 9.563
angles: 127.30 127.30 26.04
Fractional positions:
Ag 0.061 0.061 0.178
Ag 0.428 0.428 0.297
Ag 0.814 0.814 0.437
Ag 0.186 0.186 0.563
Ag 0.572 0.572 0.703
Ag 0.939 0.939 0.822
Cu 0.690 0.690 0.057
Cu 0.310 0.310 0.943

The following is a PBE-GGA calculation of an optimized crystal structure of GaCoAu, from OQMD.

Summary:
As for the symmetry: F-43m.

abc: 4.187 4.187 4.187
angles: 60.00 60.00 60.00
Fractional positions:
Au 0.000 0.000 0.000
Co 0.250 0.250 0.250
Ga 0.750 0.750 0.750

The following is a PBE-GGA calculation of an optimized crystal structure of GdSnMo, from OQMD.

Summary:
As for the symmetry: F-43m. Its energy above the most stable polymorph in this dataset is 555 meV/atom.

abc: 4.964 4.964 4.964
angles: 60.00 60.00 60.00
Fractional positions:
Gd 0.000 0.000 0.000
Mo 0.250 0.250 0.250
Sn 0.750 0.750 0.750

The following is a PBE-GGA calculation of an optimized crystal structure of GdHoI6, from OQMD.

Summary:
As for the symmetry: C2.

abc: 7.650 7.650 7.654
angles: 99.36 99.36 120.07
Fractional positions:
Gd 0.834 0.166 0.000
Ho 0.166 0.834 0.000
I 0.930 0.582 0.242
I 0.574 0.927 0.242
I 0.228 0.224 0.247
I 0.776 0.772 0.753
I 0.073 0.426 0.758
I 0.418 0.070 0.758

The following is a PBE-GGA calculation of an optimized crystal structure of WBr, from OQMD.

Summary:
As for the symmetry: Fm-3m. Its energy above the most stable polymorph in this dataset is 1005 meV/atom.

abc: 3.850 3.850 3.850
angles: 60.00 60.00 60.00
Fractional positions:
Br 0.000 0.000 0.000
W 0.500 0.500 0.500

The following is a PBE-GGA calculation of an optimized crystal structure of Sc2Ni7, from OQMD.

Summary:
As for the symmetry: R-3m.

abc: 12.154 12.154 12.154
angles: 22.68 22.68 22.68
Fractional positions:
Ni 0.500 0.500 0.000
Ni 0.613 0.613 0.109
Ni 0.278 0.278 0.278
Ni 0.891 0.387 0.387
Ni 0.387 0.891 0.387
Ni 0.389 0.389 0.389
Ni 0.500 0.000 0.500
Ni 0.000 0.500 0.500
Ni 0.500 0.500 0.500
Ni 0.611 0.611 0.611
Ni 0.613 0.109 0.613
Ni 0.109 0.613 0.613
Ni 0.722 0.722 0.722
Ni 0.387 0.387 0.891
Sc 0.050 0.050 0.050
Sc 0.148 0.148 0.148
Sc 0.852 0.852 0.852
Sc 0.950 0.950 0.950

The following is a PBE-GGA calculation of an optimized crystal structure of BaOsW, from OQMD.

Summary:
As for the symmetry: F-43m. Its energy above the most stable polymorph in this dataset is 1365 meV/atom.

abc: 4.612 4.612 4.612
angles: 60.00 60.00 60.00
Fractional positions:
Ba 0.000 0.000 0.000
Os 0.250 0.250 0.250
W 0.750 0.750 0.750

The following is a PBE-GGA calculation of an optimized crystal structure of Pr2Fe3Ge5, from OQMD.

Summary:
As for the symmetry: C2/c. Its energy above the most stable polymorph in this dataset is 0 meV/atom.

abc: 8.330 8.330 5.805
angles: 109.33 109.33 94.72
Fractional positions:
Fe 0.736 0.454 0.120
Fe 0.997 0.003 0.250
Fe 0.546 0.264 0.380
Fe 0.454 0.736 0.620
Fe 0.003 0.997 0.750
Fe 0.264 0.546 0.880
Ge 0.268 0.074 0.177
Ge 0.783 0.217 0.250
Ge 0.494 0.506 0.250
Ge 0.232 0.768 0.250
Ge 0.926 0.732 0.323
Ge 0.074 0.268 0.677
Ge 0.768 0.232 0.750
Ge 0.506 0.494 0.750
Ge 0.217 0.783 0.750
Ge 0.732 0.926 0.823
Pr 0.600 0.869 0.235
Pr 0.131 0.400 0.265
Pr 0.869 0.600 0.735
Pr 0.400 0.131 0.765

The following is a PBE-GGA calculation of an optimized crystal structure of NdInCo, from OQMD.

Summary:
As for the symmetry: F-43m.

abc: 4.616 4.616 4.616
angles: 60.00 60.00 60.00
Fractional positions:
Co 0.000 0.000 0.000
In 0.250 0.250 0.250
Nd 0.750 0.750 0.750

no.,calculated total energy (eV per atom),calculated volume (Å³/f.u.)
1,-7.6236,76.87
2,-2.8513,151.59
3,-3.9090,76.33
4,-6.0720,74.54
5,-5.9944,84.53
6,-3.1228,87.59
7,-2.0064,151.05
8,-4.4847,88.91
9,-4.3487,82.08
10,-5.0550,184.26
11,-5.5384,162.62
12,-6.7368,63.20
13,-4.8754,212.11
14,-5.2385,53.83
15,-6.7809,77.87
16,-3.9910,58.21
17,-6.3803,81.97
18,-2.9817,66.24
19,-4.2044,51.90
20,-5.5220,86.51
21,-3.7199,366.44
22,-4.9759,40.34
23,-6.1311,117.06
24,-5.7260,69.36
25,-6.2081,175.10
26,-4.9506,69.53